Compound: ErTmTeC
Source: OQMD
Functional: PBE-GGA
Structure: optimized geometry

```
ErTmTeC
1.0
-0.7127 -3.5595 -1.0625
1.4045 0.7012 3.4412
-12.8797 1.0749 5.0378
C Er Te Tm
2 2 2 2
direct
0.0000 0.0000 0.0000
0.0000 0.0000 0.5000
0.3333 0.6667 0.4075
0.6667 0.3333 0.5925
0.6667 0.3333 0.2498
0.3333 0.6667 0.7502
0.3333 0.6667 0.0923
0.6667 0.3333 0.9077
```

## Properties
Energy (eV per cell): -49.918